PBE NaLa2WI, relaxed; symmetry = No. 123; DFT total energy = -4.801 eV per atom; formation energy (no corrections) = 0.335 eV per atom
1.0
5.453 0.000 0.000
0.000 5.453 0.000
0.000 0.000 5.844
Na La W I
1 2 1 1
Cartesian
0.000 0.000 0.000
0.000 2.727 2.922
2.727 0.000 2.922
0.000 0.000 2.922
2.727 2.727 0.000

***

PBE LaNbI, relaxed; symmetry = No. 8; DFT total energy = -5.367 eV per atom; formation energy (no corrections) = 0.149 eV per atom
1.0
6.259 -1.886 0.000
6.259 1.886 0.000
-0.014 0.000 3.487
La Nb I
1 1 1
Cartesian
0.000 0.000 0.000
8.456 0.000 1.752
3.527 0.000 0.014

***

PBE LaNbI, relaxed; symmetry = No. 1; DFT total energy = -5.281 eV per atom; formation energy (no corrections) = 0.235 eV per atom
1.0
3.645 0.000 0.000
-0.595 4.951 0.000
-1.665 -0.758 4.971
La Nb I
1 1 1
Cartesian
0.000 0.000 0.000
-0.045 1.816 4.810
1.788 1.849 2.576

***

PBE La4NbI2, relaxed; symmetry = No. 139; DFT total energy = -4.846 eV per atom; formation energy (no corrections) = -0.149 eV per atom
1.0
-2.846 2.846 8.128
2.846 -2.846 8.128
2.846 2.846 -8.128
La Nb I
4 1 2
Cartesian
2.846 0.000 0.000
0.000 0.000 2.884
0.000 2.846 0.000
0.000 0.000 13.372
0.000 0.000 0.000
0.000 0.000 6.173
0.000 0.000 10.083

***

PBE LaNbI, relaxed; symmetry = No. 8; DFT total energy = -5.362 eV per atom; formation energy (no corrections) = 0.154 eV per atom
1.0
2.992 -1.837 0.000
2.992 1.837 0.000
-2.802 0.000 7.448
La Nb I
1 1 1
Cartesian
0.000 0.000 0.000
0.200 0.000 4.867
4.126 0.000 2.902

***

PBE LaNbI, relaxed; symmetry = No. 107; DFT total energy = -5.369 eV per atom; formation energy (no corrections) = 0.147 eV per atom
1.0
-1.765 1.765 6.418
1.765 -1.765 6.418
1.765 1.765 -6.418
La Nb I
1 1 1
Cartesian
0.000 0.000 0.000
0.000 0.000 8.668
0.000 0.000 3.748

***

PBE LaNbI3, relaxed; symmetry = No. 221; DFT total energy = -3.904 eV per atom; formation energy (no corrections) = 0.026 eV per atom
1.0
5.515 0.000 0.000
0.000 5.515 0.000
0.000 0.000 5.515
La Nb I
1 1 3
Cartesian
0.000 0.000 0.000
2.757 2.757 2.757
0.000 2.757 2.757
2.757 0.000 2.757
2.757 2.757 0.000

***

PBE LaNbIO2, relaxed; symmetry = No. 123; DFT total energy = -6.605 eV per atom; formation energy (no corrections) = -1.313 eV per atom
1.0
4.232 0.000 0.000
0.000 4.232 0.000
0.000 0.000 5.606
La Nb I O
1 1 1 2
Cartesian
0.000 0.000 0.000
2.116 2.116 2.803
2.116 2.116 0.000
0.000 2.116 2.803
2.116 0.000 2.803